PBE CrCdSi2, relaxed; raw formation energy = 0.193 eV per atom; magnetization = 0.254 μB/atom; E = -20.614 eV per formula unit
1.0
-0.3569 -3.5996 2.3543
-1.7094 -3.9422 -0.4055
4.2312 -2.6135 -1.7490
Si Cr Cd
2 1 1
Cartesian
3.8283 -2.5567 -1.5587
1.4852 -5.1345 -0.0904
1.6236 -7.6165 0.1499
0.5412 -2.5388 0.0500